This record from Alexandria describes a relaxed structure of Mg3ZnAu. The functional is GGA-PBE.

Cell lengths 4.5433, 9.7887, 9.7887 Å; angles 89.21, 76.80, 76.80 degrees
With the nearest neighbours (Å) after each atom.
Positions (direct):
Au1 0.0027 0.6625 0.8260  8 Mg 2.73-2.85
Zn1 0.2500 0.7554 0.2446  8 Mg 2.79-2.87
Mg1 0.1186 0.0460 0.2196  4 Zn 2.79-2.96, 3 Au 2.79-2.83
Mg2 0.6186 0.2196 0.0460  4 Zn 2.79-2.96, 3 Au 2.79-2.83
Mg3 0.6194 0.8824 0.3835  2 Au 2.73-2.83, 3 Zn 2.85-2.87
Zn2 0.7500 0.9130 0.0870  8 Mg 2.85-2.96, 2 Zn 3.14
Mg4 0.8814 0.9540 0.7804  4 Zn 2.79-2.96, 3 Au 2.79-2.83
Mg5 0.3745 0.4668 0.2899  3 Au 2.78-2.85, 1 Zn 2.80
Zn3 0.7500 0.2446 0.7554  8 Mg 2.79-2.87
Mg6 0.8806 0.6165 0.1176  2 Au 2.73-2.83, 3 Zn 2.85-2.87
Mg7 0.3814 0.7804 0.9540  4 Zn 2.79-2.96, 3 Au 2.79-2.83
Mg8 0.3806 0.1176 0.6165  2 Au 2.73-2.83, 3 Zn 2.85-2.87
Au2 0.5027 0.8260 0.6625  8 Mg 2.73-2.85
Au3 0.9973 0.3375 0.1740  8 Mg 2.73-2.85
Mg9 0.1255 0.7101 0.5332  3 Au 2.78-2.85, 1 Zn 2.80
Mg10 0.6255 0.5332 0.7101  3 Au 2.78-2.85, 1 Zn 2.80
Au4 0.4973 0.1740 0.3375  8 Mg 2.73-2.85
Mg11 0.8745 0.2899 0.4668  3 Au 2.78-2.85, 1 Zn 2.80
Mg12 0.1194 0.3835 0.8824  2 Au 2.73-2.83, 3 Zn 2.85-2.87
Zn4 0.2500 0.0870 0.9130  8 Mg 2.85-2.96, 2 Zn 3.14

Output
As for the space group: No. 15. The value obtained for the excess energy over the best structure of this formula in the dataset is 0 meV per atom. The formation energy is -1.36 eV/f.u. As for the size of the total moment: 0.00 μB per atom.